1.
# Al2TcRu

Al2TcRu after structural relaxation (PBEsol, Alexandria via LeMat-Bulk).

Cell and atoms, written as CIF:
```
data_Al2TcRu
_symmetry_space_group_name_H-M 'F -4 3 m'
_symmetry_Int_Tables_number 216
_symmetry_space_group_name_Hall 'F -4 2 3'
_cell_length_a 6.049
_cell_length_b 6.049
_cell_length_c 6.049
_cell_angle_alpha 90.00
_cell_angle_beta 90.00
_cell_angle_gamma 90.00
loop_
_atom_site_label
_atom_site_type_symbol
_atom_site_fract_x
_atom_site_fract_y
_atom_site_fract_z
Al1 Al 0.000 0.000 0.000
Al2 Al 0.250 0.250 0.250
Tc1 Tc 0.000 0.000 0.500
Ru1 Ru 0.250 0.250 0.750
```

Results
Uncorrected energy = -0.55506 Ry per atom
Size of the total moment = 0.02 μB per cell
Density of states at the Fermi level = 21.6 states/eV/cell
Energy of formation = -147 meV/atom

2.
# Al2TcRu

Al2TcRu after structural relaxation (PBEsol, Alexandria via LeMat-Bulk).

Cell and atoms, written as CIF:
```
data_Al2TcRu
_symmetry_space_group_name_H-M 'R 3 m'
_symmetry_Int_Tables_number 160
_symmetry_space_group_name_Hall 'R 3 -2"'
_cell_length_a 2.7846
_cell_length_b 2.7846
_cell_length_c 25.6694
_cell_angle_alpha 90.00
_cell_angle_beta 90.00
_cell_angle_gamma 120.00
loop_
_atom_site_label
_atom_site_type_symbol
_atom_site_fract_x
_atom_site_fract_y
_atom_site_fract_z
Al1 Al 0.0000 0.0000 0.0000
Al2 Al 0.0000 0.0000 0.2423
Tc1 Tc 0.0000 0.0000 0.4926
Ru1 Ru 0.0000 0.0000 0.7470
```

Results
Uncorrected energy = -0.55745 Ry per atom
Size of the total moment = 0.00 μB per cell
Density of states at the Fermi level = 8.2 states/eV/cell
Energy of formation = -179 meV/atom

3.
# Al2TeRu

Al2TeRu after structural relaxation (PBEsol, Alexandria via LeMat-Bulk).

Cell and atoms, written as CIF:
```
data_Al2TeRu
_symmetry_space_group_name_H-M 'C 1 2/m 1'
_symmetry_Int_Tables_number 12
_symmetry_space_group_name_Hall '-C 2y'
_cell_length_a 8.529
_cell_length_b 3.269
_cell_length_c 5.191
_cell_angle_alpha 90.00
_cell_angle_beta 102.98
_cell_angle_gamma 90.00
loop_
_atom_site_label
_atom_site_type_symbol
_atom_site_fract_x
_atom_site_fract_y
_atom_site_fract_z
Al1 Al 0.231 0.000 0.185
Te1 Te 0.000 0.000 0.500
Ru1 Ru 0.000 0.500 0.000
```

Results
Uncorrected energy = -0.40186 Ry per atom
Size of the total moment = 0.00 μB per cell
Density of states at the Fermi level = 3.0 states/eV/cell
Formation energy without anion corrections = 0.003 eV per atom

4.
# AlTeRu2

AlTeRu2 after structural relaxation (PBEsol, Alexandria via LeMat-Bulk).

Cell and atoms, written as CIF:
```
data_AlTeRu2
_symmetry_space_group_name_H-M 'F -4 3 m'
_symmetry_Int_Tables_number 216
_symmetry_space_group_name_Hall 'F -4 2 3'
_cell_length_a 6.337
_cell_length_b 6.337
_cell_length_c 6.337
_cell_angle_alpha 90.00
_cell_angle_beta 90.00
_cell_angle_gamma 90.00
loop_
_atom_site_label
_atom_site_type_symbol
_atom_site_fract_x
_atom_site_fract_y
_atom_site_fract_z
Al1 Al 0.000 0.000 0.000
Te1 Te 0.250 0.250 0.250
Ru1 Ru 0.000 0.000 0.500
Ru2 Ru 0.250 0.250 0.750
```

Results
Uncorrected energy = -0.48109 Ry per atom
Size of the total moment = 0.01 μB per cell
Density of states at the Fermi level = 18.9 states/eV/cell
Formation energy without anion corrections = 0.445 eV per atom

5.
# Al2TeRu

Al2TeRu after structural relaxation (PBEsol, Alexandria via LeMat-Bulk).

Cell and atoms, written as CIF:
```
data_Al2TeRu
_symmetry_space_group_name_H-M 'P 4/m m m'
_symmetry_Int_Tables_number 123
_symmetry_space_group_name_Hall '-P 4 2'
_cell_length_a 3.005
_cell_length_b 3.005
_cell_length_c 8.148
_cell_angle_alpha 90.00
_cell_angle_beta 90.00
_cell_angle_gamma 90.00
loop_
_atom_site_label
_atom_site_type_symbol
_atom_site_fract_x
_atom_site_fract_y
_atom_site_fract_z
Al1 Al 0.000 0.000 0.172
Te1 Te 0.500 0.500 0.500
Ru1 Ru 0.500 0.500 0.000
```

Results
Uncorrected energy = -0.41602 Ry per atom
Size of the total moment = 0.00 μB per cell
Density of states at the Fermi level = 1.5 states/eV/cell
Formation energy without anion corrections = -0.190 eV per atom

6.
# AlTe2Ru

AlTe2Ru after structural relaxation (PBEsol, Alexandria via LeMat-Bulk).

Cell and atoms, written as CIF:
```
data_AlTe2Ru
_symmetry_space_group_name_H-M 'P 4 m m'
_symmetry_Int_Tables_number 99
_symmetry_space_group_name_Hall 'P 4 -2'
_cell_length_a 3.106
_cell_length_b 3.106
_cell_length_c 8.614
_cell_angle_alpha 90.00
_cell_angle_beta 90.00
_cell_angle_gamma 90.00
loop_
_atom_site_label
_atom_site_type_symbol
_atom_site_fract_x
_atom_site_fract_y
_atom_site_fract_z
Al1 Al 0.000 0.000 0.000
Te1 Te 0.000 0.000 0.364
Te2 Te 0.500 0.500 0.736
Ru1 Ru 0.500 0.500 0.171
```

Results
Uncorrected energy = -0.39295 Ry per atom
Size of the total moment = 0.00 μB per cell
Density of states at the Fermi level = 3.0 states/eV/cell
Formation energy without anion corrections = -0.017 eV per atom

7.
# AlTeRu2

AlTeRu2 after structural relaxation (PBEsol, Alexandria via LeMat-Bulk).

Cell and atoms, written as CIF:
```
data_AlTeRu2
_symmetry_space_group_name_H-M 'I m m 2'
_symmetry_Int_Tables_number 44
_symmetry_space_group_name_Hall 'I 2 -2'
_cell_length_a 3.109
_cell_length_b 4.257
_cell_length_c 9.508
_cell_angle_alpha 90.00
_cell_angle_beta 90.00
_cell_angle_gamma 90.00
loop_
_atom_site_label
_atom_site_type_symbol
_atom_site_fract_x
_atom_site_fract_y
_atom_site_fract_z
Al1 Al 0.000 0.000 0.000
Te1 Te 0.000 0.500 0.773
Ru1 Ru 0.000 0.000 0.499
Ru2 Ru 0.000 0.500 0.275
```

Results
Uncorrected energy = -0.50718 Ry per atom
Size of the total moment = 0.00 μB per cell
Density of states at the Fermi level = 7.3 states/eV/cell
Formation energy without anion corrections = 0.090 eV per atom

8.
# AlTeRu2

AlTeRu2 after structural relaxation (PBEsol, Alexandria via LeMat-Bulk).

Cell and atoms, written as CIF:
```
data_AlTeRu2
_symmetry_space_group_name_H-M 'R 3 m'
_symmetry_Int_Tables_number 160
_symmetry_space_group_name_Hall 'R 3 -2"'
_cell_length_a 3.0526
_cell_length_b 3.0526
_cell_length_c 24.6938
_cell_angle_alpha 90.00
_cell_angle_beta 90.00
_cell_angle_gamma 120.00
loop_
_atom_site_label
_atom_site_type_symbol
_atom_site_fract_x
_atom_site_fract_y
_atom_site_fract_z
Al1 Al 0.0000 0.0000 0.0000
Te1 Te 0.0000 0.0000 0.2332
Ru1 Ru 0.0000 0.0000 0.4876
Ru2 Ru 0.0000 0.0000 0.7367
```

Results
Uncorrected energy = -0.49079 Ry per atom
Size of the total moment = 0.00 μB per cell
Density of states at the Fermi level = 10.6 states/eV/cell
Formation energy without anion corrections = 0.313 eV per atom